DFT (PBE+U) results for a relaxed Li3Tm2FeO6 crystal.

a = 5.565 Å, b = 5.565 Å, c = 5.289 Å
α = 99.00°, β = 99.00°, γ = 120.54°
Positions (direct):
Li: 0.000 0.000 0.000
Li: 0.371 0.629 0.000
Li: 0.629 0.371 0.000
Tm: 0.167 0.833 0.500
Tm: 0.833 0.167 0.500
Fe: 0.500 0.500 0.500
O: 0.130 0.433 0.276
O: 0.244 0.244 0.742
O: 0.433 0.130 0.276
O: 0.567 0.870 0.724
O: 0.756 0.756 0.258
O: 0.870 0.567 0.724

Calculated values
* space-group type: C2/m (12)
* energy: -6.607 eV/atom